1.
La2AgGeBr (PBE, optimized geometry); crystal system = tetragonal; theoretical density = 5.7 g/cm³; raw formation energy = -2.72 kcal/mol of atoms; DFT total energy = -19.59 eV per cell
1.0
-3.3524 4.4380 -0.8441
-2.6237 -2.6098 -3.3013
-3.3985 -1.7851 4.1122
Ge Br Ag La
1 1 1 2
Direct
0.5000 0.5000 0.5000
0.0000 0.0000 0.0000
0.0000 0.5000 0.0000
0.0000 0.0000 0.5000
0.5000 0.0000 0.0000

***

2.
Li2AgGeBr6 (PBE, optimized geometry); crystal system = monoclinic; theoretical density = 3.5 g/cm³; raw formation energy = -16.78 kcal/mol of atoms; DFT total energy = -57.22 eV per cell
1.0
-4.3057 -0.8993 -4.3774
4.6514 -7.0635 -5.8638
-5.4518 -7.6544 4.1954
Li Ag Ge Br
4 2 2 12
Direct
0.2505 0.8220 0.6000
0.2495 0.4000 0.1780
0.7495 0.1780 0.4000
0.7505 0.6000 0.8220
0.2500 0.2302 0.7698
0.7500 0.7698 0.2302
0.2500 0.9038 0.0962
0.7500 0.0962 0.9038
0.1719 0.9531 0.8132
0.3281 0.1868 0.0469
0.8281 0.0469 0.1868
0.6719 0.8132 0.9531
0.3472 0.8807 0.3498
0.1528 0.6502 0.1193
0.6528 0.1193 0.6502
0.8472 0.3498 0.8807
0.0512 0.6262 0.6235
0.4488 0.3765 0.3738
0.9488 0.3738 0.3765
0.5512 0.6235 0.6262

***

3.
MnAgGeBr2 (PBE, optimized geometry); crystal system = tetragonal; theoretical density = 4.8 g/cm³; raw formation energy = 9.24 kcal/mol of atoms; DFT total energy = -17.98 eV per cell
1.0
4.9568 0.0000 0.0000
0.0000 5.5881 0.0000
0.0000 0.0000 4.9568
Ge Mn Br Ag
1 1 2 1
Direct
0.5000 0.5000 0.5000
0.0000 0.0000 0.0000
0.0000 0.0000 0.5000
0.5000 0.0000 0.0000
0.0000 0.5000 0.0000

***

4.
NaAgGeBr4 (PBE, optimized geometry); crystal system = orthorhombic; theoretical density = 4.1 g/cm³; raw formation energy = -17.84 kcal/mol of atoms; DFT total energy = -41.79 eV per cell
1.0
-4.0608 -5.8472 4.4729
3.3030 -2.7385 7.3203
-3.5689 2.0996 7.4062
Na Ag Ge Br
2 2 2 8
Direct
0.0000 0.0000 0.0000
0.0000 0.5000 0.5000
0.6134 0.6366 0.1366
0.3866 0.3634 0.8634
0.5000 0.0000 0.5000
0.0000 0.0000 0.5000
0.7498 0.7649 0.7354
0.2502 0.7646 0.7351
0.7498 0.2354 0.2649
0.2502 0.2351 0.2646
0.2226 0.7680 0.2680
0.7414 0.7680 0.2680
0.2586 0.2320 0.7320
0.7774 0.2320 0.7320

***

5.
NaAg2GeBr6 (PBE, optimized geometry); crystal system = monoclinic; theoretical density = 4.4 g/cm³; raw formation energy = -13.89 kcal/mol of atoms; DFT total energy = -55.40 eV per cell
1.0
-5.3625 -0.1364 -5.1240
2.3752 -7.9000 -3.7919
-6.1494 -4.3879 5.0360
Na Ag Ge Br
2 4 2 12
Direct
0.2500 0.9192 0.0808
0.7500 0.0808 0.9192
0.2149 0.7142 0.5361
0.2851 0.4639 0.2858
0.7851 0.2858 0.4639
0.7149 0.5361 0.7142
0.2500 0.2406 0.7594
0.7500 0.7594 0.2406
0.1402 0.9760 0.7760
0.3598 0.2240 0.0240
0.8598 0.0240 0.2240
0.6402 0.7760 0.9760
0.4187 0.8756 0.3590
0.0813 0.6410 0.1244
0.5813 0.1244 0.6410
0.9187 0.3590 0.8756
0.8573 0.7305 0.5267
0.6427 0.4733 0.2695
0.1427 0.2695 0.4733
0.3573 0.5267 0.7305

***

6.
Na2AgGeBr5 (PBE, optimized geometry); crystal system = orthorhombic; theoretical density = 3.8 g/cm³; raw formation energy = -21.40 kcal/mol of atoms; DFT total energy = -53.65 eV per cell
1.0
4.1794 0.0000 0.0000
-2.0897 8.8804 0.0000
0.0000 0.0000 14.5953
Na Ag Ge Br
4 2 2 10
Direct
0.8652 0.7304 0.7583
0.0766 0.1533 0.6631
0.1348 0.2696 0.2583
0.9234 0.8467 0.1631
0.5468 0.0937 0.9420
0.4532 0.9063 0.4420
0.7566 0.5132 0.5298
0.2434 0.4868 0.0298
0.3902 0.7805 0.0260
0.7343 0.4686 0.9016
0.4923 0.9846 0.7744
0.2542 0.5084 0.6741
0.9246 0.8491 0.5547
0.6098 0.2195 0.5260
0.2657 0.5314 0.4016
0.5077 0.0154 0.2744
0.7458 0.4916 0.1741
0.0754 0.1509 0.0547